Entry from the Alexandria database: a relaxed KMgGa2H8 crystal (PBE-GGA).

Cell: 7.7363 7.7363 7.7363 Å, 38.03 38.03 38.03°
Fractional positions:
1 K 0.0000 0.0000 0.0000
2 Mg 0.5000 0.5000 0.5000
3 Ga 0.2396 0.2396 0.2396
4 Ga 0.7604 0.7604 0.7604
5 H 0.1006 0.7693 0.4736
6 H 0.2307 0.5264 0.8994
7 H 0.3144 0.3144 0.3144
8 H 0.4736 0.1006 0.7693
9 H 0.5264 0.8994 0.2307
10 H 0.6856 0.6856 0.6856
11 H 0.7693 0.4736 0.1006
12 H 0.8994 0.2307 0.5264

Electronic total energy = -2.95 eV per atom

Entry from the Alexandria database: a relaxed KNpS3 crystal (PBE-GGA).

Cell: 5.1694 5.1694 5.1694 Å, 90.00 90.00 90.00°
Fractional positions:
1 K 0.0000 0.0000 0.0000
2 Np 0.5000 0.5000 0.5000
3 S 0.0000 0.5000 0.5000
4 S 0.5000 0.0000 0.5000
5 S 0.5000 0.5000 0.0000

Formation energy without anion corrections = -1201 meV per atom

Entry from the Alexandria database: a relaxed Nd4BiPb crystal (PBE-GGA).

Cell: 8.6292 8.6292 6.5348 Å, 103.24 103.24 115.38°
Fractional positions:
1 Nd 0.0853 0.7037 0.9309
2 Nd 0.2209 0.3894 0.6794
3 Nd 0.2963 0.9147 0.5691
4 Nd 0.3894 0.2209 0.1794
5 Nd 0.6106 0.7791 0.8206
6 Nd 0.7037 0.0853 0.4309
7 Nd 0.7791 0.6106 0.3206
8 Nd 0.9147 0.2963 0.0691
9 Bi 0.3819 0.6181 0.2500
10 Bi 0.6181 0.3819 0.7500
11 Pb 0.0018 0.9982 0.2500
12 Pb 0.9982 0.0018 0.7500

ΔH_f (0 K) = -0.456 eV/atom

Entry from the Alexandria database: a relaxed Ru5Pt crystal (PBE-GGA).

Cell: 4.7505 4.7505 4.3435 Å, 90.00 90.00 120.00°
Fractional positions:
1 Ru 0.0000 0.6620 0.0000
2 Ru 0.3333 0.6667 0.5000
3 Ru 0.3380 0.3380 0.0000
4 Ru 0.6620 0.0000 0.0000
5 Ru 0.6667 0.3333 0.5000
6 Pt 0.0000 0.0000 0.5000

ΔE to the lowest computed polymorph = 0.00 eV/f.u.
ΔH_f (0 K) = 0.005 eV/atom